Computed, not measured: a geometry-optimized Sr2NbTcN5 structure at the PBE-GGA level of DFT.

Unit cell a=3.3278 b=14.9316 c=11.1856 alpha=90.00 beta=90.00 gamma=90.00
Space group Cmc2_1 (No. 36)
Inequivalent atoms, fractional coordinates:
Sr 0.0000 0.1052 0.0000 (multiplicity 4)
Sr 0.0000 0.1422 0.6649 (multiplicity 4)
Nb 0.0000 0.2156 0.3796 (multiplicity 4)
Tc 0.0000 0.4424 0.7671 (multiplicity 4)
N 0.0000 0.0347 0.3491 (multiplicity 4)
N 0.0000 0.2903 0.9878 (multiplicity 4)
N 0.0000 0.3208 0.7361 (multiplicity 4)
N 0.0000 0.3370 0.3427 (multiplicity 4)
N 0.0000 0.4969 0.1299 (multiplicity 4)

Calculated values
Energy, eV per atom: -7.90
Theoretical density, g/cm³: 5.2
Energy relative to the elements, uncorrected, eV/atom: -0.63
Density of states at the Fermi level, states/eV per atom: 0.274



Computed, not measured: a geometry-optimized SrNbTeN2 structure at the PBE-GGA level of DFT.

Unit cell a=4.2505 b=4.2505 c=5.7011 alpha=90.00 beta=90.00 gamma=90.00
Space group P4/mmm (No. 123)
Inequivalent atoms, fractional coordinates:
Sr 0.0000 0.0000 0.0000 (multiplicity 1)
Nb 0.5000 0.5000 0.5000 (multiplicity 1)
Te 0.5000 0.5000 0.0000 (multiplicity 1)
N 0.0000 0.5000 0.5000 (multiplicity 2)

Calculated values
Energy, eV per atom: -6.55
Theoretical density, g/cm³: 5.4
Energy relative to the elements, uncorrected, eV/atom: -0.24
Density of states at the Fermi level, states/eV per atom: 0.756



Computed, not measured: a geometry-optimized SrNbTe2N structure at the PBE-GGA level of DFT.

Unit cell a=5.7019 b=5.7019 c=4.0023 alpha=90.00 beta=90.00 gamma=90.00
Space group P4/mmm (No. 123)
Inequivalent atoms, fractional coordinates:
Sr 0.0000 0.0000 0.0000 (multiplicity 1)
Nb 0.5000 0.5000 0.5000 (multiplicity 1)
Te 0.0000 0.5000 0.5000 (multiplicity 2)
N 0.5000 0.5000 0.0000 (multiplicity 1)

Calculated values
Energy, eV per atom: -5.88
Theoretical density, g/cm³: 5.7
Energy relative to the elements, uncorrected, eV/atom: -0.61
Density of states at the Fermi level, states/eV per atom: 0.432



Computed, not measured: a geometry-optimized SrNbTeN2 structure at the PBE-GGA level of DFT.

Unit cell a=4.3108 b=4.3108 c=6.0641 alpha=90.00 beta=90.00 gamma=90.00
Space group P4/mmm (No. 123)
Inequivalent atoms, fractional coordinates:
Sr 0.0000 0.0000 0.0000 (multiplicity 1)
Nb 0.5000 0.5000 0.5000 (multiplicity 1)
Te 0.0000 0.0000 0.5000 (multiplicity 1)
N 0.0000 0.5000 0.0000 (multiplicity 2)

Calculated values
Energy, eV per atom: -4.43
Theoretical density, g/cm³: 5.0
Energy relative to the elements, uncorrected, eV/atom: 1.88
Density of states at the Fermi level, states/eV per atom: 1.256



Computed, not measured: a geometry-optimized Sr2NbTeN structure at the PBE-GGA level of DFT.

Unit cell a=6.3178 b=6.3178 c=4.2501 alpha=90.00 beta=90.00 gamma=90.00
Space group P4/mmm (No. 123)
Inequivalent atoms, fractional coordinates:
Sr 0.0000 0.5000 0.0000 (multiplicity 2)
Nb 0.0000 0.0000 0.5000 (multiplicity 1)
Te 0.5000 0.5000 0.0000 (multiplicity 1)
N 0.5000 0.5000 0.5000 (multiplicity 1)

Calculated values
Energy, eV per atom: -3.98
Theoretical density, g/cm³: 4.0
Energy relative to the elements, uncorrected, eV/atom: 1.00
Density of states at the Fermi level, states/eV per atom: 0.870



Computed, not measured: a geometry-optimized SrNbTe2N structure at the PBE-GGA level of DFT.

Unit cell a=6.0326 b=6.0326 c=4.2864 alpha=90.00 beta=90.00 gamma=90.00
Space group P4/mmm (No. 123)
Inequivalent atoms, fractional coordinates:
Sr 0.0000 0.0000 0.0000 (multiplicity 1)
Nb 0.5000 0.5000 0.5000 (multiplicity 1)
Te 0.0000 0.5000 0.0000 (multiplicity 2)
N 0.0000 0.0000 0.5000 (multiplicity 1)

Calculated values
Energy, eV per atom: -4.00
Theoretical density, g/cm³: 4.8
Energy relative to the elements, uncorrected, eV/atom: 1.28
Density of states at the Fermi level, states/eV per atom: 1.597



Computed, not measured: a geometry-optimized SrThNbN4 structure at the PBE-GGA level of DFT.

Unit cell a=5.7900 b=13.1305 c=5.6656 alpha=90.00 beta=90.00 gamma=90.00
Space group Cmcm (No. 63)
Inequivalent atoms, fractional coordinates:
Sr 0.0000 0.1028 0.2500 (multiplicity 4)
Th 0.0000 0.3949 0.2500 (multiplicity 4)
Nb 0.0000 0.2313 0.7500 (multiplicity 4)
N 0.0000 0.0854 0.7500 (multiplicity 4)
N 0.0000 0.4377 0.7500 (multiplicity 4)
N 0.2500 0.2500 0.0000 (multiplicity 8)

Calculated values
Energy, eV per atom: -8.45
Theoretical density, g/cm³: 7.2
Energy relative to the elements, uncorrected, eV/atom: -0.95
Density of states at the Fermi level, states/eV per atom: 0.620



Computed, not measured: a geometry-optimized Sr3Th2NbN6 structure at the PBE-GGA level of DFT.

Unit cell a=6.1884 b=10.7340 c=6.3393 alpha=90.00 beta=108.87 gamma=90.00
Space group C2/m (No. 12)
Inequivalent atoms, fractional coordinates:
Sr 0.0000 0.0000 0.0000 (multiplicity 2)
Sr 0.0000 0.3384 0.0000 (multiplicity 4)
Th 0.0000 0.1671 0.5000 (multiplicity 4)
Nb 0.0000 0.5000 0.5000 (multiplicity 2)
N 0.2208 0.3473 0.7021 (multiplicity 8)
N 0.2390 0.5000 0.2978 (multiplicity 4)

Calculated values
Energy, eV per atom: -7.81
Theoretical density, g/cm³: 7.5
Energy relative to the elements, uncorrected, eV/atom: -1.15
Density of states at the Fermi level, states/eV per atom: 0.266